Entry 1:
Computed, not measured: a relaxed structure of La5Pm2Y5 at the PBE-GGA level of DFT.

Structure (POSCAR):
```
La5Pm2Y5
1.0
5.6756 0.0000 1.2805
3.0813 8.6357 -0.4388
0.9680 -1.8581 8.9281
La Pm Y
5 2 5
Direct
0.6628 0.2160 0.4583 La
0.9974 0.2506 0.7547 La
0.0026 0.7494 0.2453 La
0.3372 0.7840 0.5417 La
0.0000 0.0000 0.0000 La
0.3348 0.5433 0.7871 Pm
0.6652 0.4567 0.2129 Pm
0.0000 0.5000 0.5000 Y
0.6696 0.7053 0.9555 Y
0.3315 0.0447 0.2922 Y
0.6685 0.9553 0.7078 Y
0.3304 0.2947 0.0445 Y
```

Computed properties:
N(E_F) ... 18.9 states/eV/f.u.
Formation enthalpy at 0 K ... 57 meV per atom

Entry 2:
Computed, not measured: a relaxed structure of LaPm5Y12 at the PBE-GGA level of DFT.

Structure (POSCAR):
```
LaPm5Y12
1.0
15.2700 -0.0066 0.0071
7.6301 7.6496 0.0035
-0.0023 0.0001 5.1026
La Pm Y
1 5 12
Direct
0.0000 0.0000 0.0000 La
0.5000 0.0000 0.5000 Pm
0.1681 0.6639 0.5000 Pm
0.8319 0.3361 0.5000 Pm
0.6666 0.6668 0.0000 Pm
0.3334 0.3332 0.0000 Pm
0.8319 0.9999 0.5001 Y
0.1681 0.0001 0.4999 Y
0.6672 0.0000 0.0001 Y
0.3328 0.0000 0.9999 Y
0.3352 0.6651 0.9999 Y
0.9998 0.6649 0.0001 Y
0.0002 0.3351 0.9999 Y
0.6648 0.3349 0.0001 Y
0.5006 0.3326 0.5001 Y
0.8331 0.6675 0.5001 Y
0.1669 0.3325 0.4999 Y
0.4994 0.6674 0.4999 Y
```

Computed properties:
N(E_F) ... 28.4 states/eV/f.u.
Formation enthalpy at 0 K ... 22 meV per atom

Entry 3:
Computed, not measured: a relaxed structure of La3Pm2Y6 at the PBE-GGA level of DFT.

Structure (POSCAR):
```
La3Pm2Y6
1.0
-3.8267 2.4562 4.2948
-4.3476 -3.5915 2.7348
6.2425 -1.9648 9.7488
La Pm Y
3 2 6
Direct
0.0000 0.0000 0.0000 La
0.3361 0.3279 0.0000 La
0.6639 0.6721 0.0000 La
0.1663 0.6674 0.5000 Pm
0.8337 0.3326 0.5000 Pm
0.4179 0.6680 0.7464 Y
0.7496 0.0000 0.7468 Y
0.0859 0.3320 0.7464 Y
0.2504 0.0000 0.2532 Y
0.5821 0.3320 0.2536 Y
0.9141 0.6680 0.2536 Y
```

Computed properties:
N(E_F) ... 15.8 states/eV/f.u.
Formation enthalpy at 0 K ... 187 meV per atom

Entry 4:
Computed, not measured: a relaxed structure of LaPm6Y2 at the PBE-GGA level of DFT.

Structure (POSCAR):
```
LaPm6Y2
1.0
3.4210 0.0000 0.6244
2.0358 5.6725 -1.4703
-1.4009 -4.2976 17.3591
La Pm Y
1 6 2
Direct
0.5000 0.5000 0.5000 La
0.4364 0.1906 0.9367 Pm
0.5636 0.8094 0.0633 Pm
0.7722 0.1875 0.2681 Pm
0.1005 0.1933 0.6057 Pm
0.2278 0.8125 0.7319 Pm
0.8995 0.8067 0.3943 Pm
0.8327 0.5002 0.8344 Y
0.1673 0.4998 0.1656 Y
```

Computed properties:
N(E_F) ... 18.0 states/eV/f.u.
Formation enthalpy at 0 K ... 179 meV per atom
Excess energy over the best structure of this formula in the dataset ... 0.047 eV/atom

Entry 5:
Computed, not measured: a relaxed structure of La2Pm4Y5 at the PBE-GGA level of DFT.

Structure (POSCAR):
```
La2Pm4Y5
1.0
3.5046 0.0000 -0.6618
-0.2610 11.8061 -1.3822
-0.0988 0.3398 9.0867
La Pm Y
2 4 5
Direct
0.7150 0.3496 0.4301 La
0.2850 0.6504 0.5699 La
0.3595 0.2003 0.7191 Pm
0.9661 0.7441 0.9322 Pm
0.6405 0.7997 0.2809 Pm
0.0339 0.2559 0.0678 Pm
0.9057 0.4591 0.8115 Y
0.0943 0.5409 0.1885 Y
0.8231 0.9338 0.6463 Y
0.5000 0.0000 0.0000 Y
0.1769 0.0662 0.3537 Y
```

Computed properties:
N(E_F) ... 16.7 states/eV/f.u.
Formation enthalpy at 0 K ... 70 meV per atom
Excess energy over the best structure of this formula in the dataset ... 0.000 eV/atom

Entry 6:
Computed, not measured: a relaxed structure of LaPm3Y7 at the PBE-GGA level of DFT.

Structure (POSCAR):
```
LaPm3Y7
1.0
4.7588 -0.1098 -2.9562
-1.0094 9.8759 -1.9843
-1.1027 -0.7074 8.8657
La Pm Y
1 3 7
Direct
0.5000 0.5000 0.5000 La
0.2813 0.9978 0.7817 Pm
0.0000 0.5000 0.0000 Pm
0.7187 0.0022 0.2182 Pm
0.9215 0.8302 0.9217 Y
0.8559 0.7133 0.3559 Y
0.6777 0.3617 0.1775 Y
0.3223 0.6383 0.8225 Y
0.5000 0.0000 0.5000 Y
0.1441 0.2867 0.6441 Y
0.0785 0.1698 0.0783 Y
```

Computed properties:
N(E_F) ... 18.0 states/eV/f.u.
Formation enthalpy at 0 K ... 137 meV per atom
Excess energy over the best structure of this formula in the dataset ... 0.000 eV/atom

What is the formula in the second record? LaPm5Y12

Repeat the first record exactly.
Computed, not measured: a relaxed structure of La5Pm2Y5 at the PBE-GGA level of DFT.

Structure (POSCAR):
```
La5Pm2Y5
1.0
5.6756 0.0000 1.2805
3.0813 8.6357 -0.4388
0.9680 -1.8581 8.9281
La Pm Y
5 2 5
Direct
0.6628 0.2160 0.4583 La
0.9974 0.2506 0.7547 La
0.0026 0.7494 0.2453 La
0.3372 0.7840 0.5417 La
0.0000 0.0000 0.0000 La
0.3348 0.5433 0.7871 Pm
0.6652 0.4567 0.2129 Pm
0.0000 0.5000 0.5000 Y
0.6696 0.7053 0.9555 Y
0.3315 0.0447 0.2922 Y
0.6685 0.9553 0.7078 Y
0.3304 0.2947 0.0445 Y
```

Computed properties:
N(E_F) ... 18.9 states/eV/f.u.
Formation enthalpy at 0 K ... 57 meV per atom